! NaAc2Y | Alexandria via LeMat-Bulk | PBE-GGA | relaxed; values from VASP
! calculated total energy = -3.85 eV/atom
&SYSTEM
  ibrav = 0, nat = 4, ntyp = 3
/
ATOMIC_SPECIES
Y 88.91 Y.upf
Na 22.99 Na.upf
Ac 227.00 Ac.upf
ATOMIC_POSITIONS angstrom
Y 2.0096 0.0000 0.0000
Na 2.0096 3.1250 3.1250
Ac 0.0000 3.1250 0.0000
Ac 0.0000 0.0000 3.1250
CELL_PARAMETERS angstrom
4.0192 0.0000 0.0000
0.0000 6.2499 0.0000
0.0000 0.0000 6.2499